Computed, not measured: a geometry-optimized TiSnHgAu2 structure at the PBE level of DFT.

Space group   No. 123
E_tot   -2.9910 eV per atom
M_tot   0.00 μB per formula unit

a = 5.1336 Å, b = 5.1336 Å, c = 5.1106 Å
α = 90.00°, β = 90.00°, γ = 90.00°
Sites, in units of the cell vectors:
1 Ti 0.0000 0.0000 0.0000
2 Sn 0.5000 0.5000 0.0000
3 Hg 0.0000 0.0000 0.5000
4 Au 0.0000 0.5000 0.5000
5 Au 0.5000 0.0000 0.5000